[1]
LaPr3Dy6Ho2: optimized geometry, GGA-PBE.

abc: 6.245 10.814 11.900
angles: 90.00 100.04 90.00
Space group C2/m (No. 12)
Unique sites:
La 0.000 0.000 0.000 x2
Pr 0.000 0.167 0.500 x4
Pr 0.000 0.500 0.500 x2
Dy 0.248 0.500 0.248 x4
Dy 0.250 0.167 0.248 x8
Ho 0.000 0.333 0.000 x4

The volume is 32.97 Å³/atom. The formation energy is 20 meV/atom.

---

[2]
Sr2MoPt: optimized geometry, GGA-PBE.

abc: 11.232 11.232 4.921
angles: 90.00 90.00 90.00
Space group I-42d (No. 122)
Unique sites:
Sr 0.085 0.250 0.125 x8
Mo 0.000 0.000 0.500 x4
Pt 0.000 0.000 0.000 x4

The volume is 38.80 Å³/atom. The formation energy is 402 meV/atom.

---

[3]
YAlCr: optimized geometry, GGA-PBE.

abc: 4.424 5.392 5.784
angles: 72.33 68.17 79.44
Space group P-1 (No. 2)
Unique sites:
Y 0.153 0.282 0.299 x2
Al 0.429 0.294 0.717 x2
Cr 0.166 0.867 0.027 x2

The volume is 20.28 Å³/atom. The formation energy is 12 meV/atom.

---

[4]
K2Rb3TeO6: optimized geometry, GGA-PBE.

abc: 6.651 11.389 6.629
angles: 90.00 109.83 90.00
Space group C2/m (No. 12)
Unique sites:
K 0.000 0.166 0.000 x4
Rb 0.000 0.000 0.500 x2
Rb 0.000 0.330 0.500 x4
Te 0.000 0.500 0.000 x2
O 0.181 0.500 0.817 x4
O 0.184 0.377 0.183 x8

The value obtained for the formation energy (no corrections) is -15.8 eV per formula unit. The volume is 19.68 Å³/atom.